Entry 1:
# AlTlF2

A relaxed AlTlF2 crystal (PBE, Alexandria).

POSCAR file:
```
AlTlF2
1.0
-2.856 2.856 4.771
2.856 -2.856 4.771
2.856 2.856 -4.771
Al Tl F
2 2 4
Direct
0.375 0.625 0.750 Al
0.625 0.375 0.250 Al
0.125 0.875 0.250 Tl
0.875 0.125 0.750 Tl
0.000 0.500 0.500 F
0.500 0.000 0.000 F
0.500 0.500 0.000 F
0.500 0.500 0.500 F
```

Output
Total DFT energy (no corrections): -4.18 eV/atom
Space group: No. 141
ΔE_f (raw): -1714 meV/atom

***

Entry 2:
# Al2Tl3F9

A relaxed Al2Tl3F9 crystal (PBE, Alexandria).

POSCAR file:
```
Al2Tl3F9
1.0
5.238 3.024 4.933
-5.238 3.024 4.933
0.000 -6.048 4.933
Al Tl F
4 6 18
Direct
0.158 0.158 0.158 Al
0.342 0.342 0.342 Al
0.658 0.658 0.658 Al
0.842 0.842 0.842 Al
0.097 0.750 0.403 Tl
0.250 0.597 0.903 Tl
0.403 0.097 0.750 Tl
0.597 0.903 0.250 Tl
0.750 0.403 0.097 Tl
0.903 0.250 0.597 Tl
0.046 0.900 0.749 F
0.100 0.251 0.954 F
0.118 0.382 0.250 F
0.249 0.400 0.546 F
0.250 0.118 0.382 F
0.251 0.954 0.100 F
0.382 0.250 0.118 F
0.400 0.546 0.249 F
0.454 0.751 0.600 F
0.546 0.249 0.400 F
0.600 0.454 0.751 F
0.618 0.750 0.882 F
0.749 0.046 0.900 F
0.750 0.882 0.618 F
0.751 0.600 0.454 F
0.882 0.618 0.750 F
0.900 0.749 0.046 F
0.954 0.100 0.251 F
```

Output
Total DFT energy (no corrections): -5.06 eV/atom
Space group: No. 167
ΔE_f (raw): -2819 meV/atom